PBE ZrAlCoPt, optimized geometry; calculated volume = 64.2 Å³/cell; total magnetization = 0.47 μB per atom; relative energy among the computed polymorphs = 1.42 eV/f.u.
1.0
0.0000 3.1775 3.1775
3.1775 0.0000 3.1775
3.1775 3.1775 0.0000
Zr Al Co Pt
1 1 1 1
direct
0.0000 0.0000 0.0000 Zr
0.2500 0.2500 0.2500 Al
0.5000 0.5000 0.5000 Co
0.7500 0.7500 0.7500 Pt